[1]
This record from Alexandria describes an optimized crystal structure of GeB6Pt12. The functional is PBE.

Geometry as extended XYZ:
```
19
Lattice="6.6498 0.1544 2.0256 -3.1993 6.3921 2.0816 0.0116 0.0232 6.0439" Properties=species:S:1:pos:R:3 pbc="T T T"
Pt 0.2499 5.7013 4.9577
B 0.9105 3.6759 4.2187
Pt 0.5583 1.5583 4.0941
Pt -0.8254 3.9146 3.0149
B 5.2264 1.0892 5.8741
B -0.1748 5.0851 7.3778
Pt 0.5213 3.2935 6.3740
B 2.5517 2.8938 5.9323
Ge 0.0000 0.0000 0.0000
Pt 1.8013 1.1566 1.6481
Pt 3.2122 0.8684 5.1933
Pt 1.6608 5.4131 8.5029
Pt 2.9408 3.2762 3.7771
B 3.6370 1.4846 2.7732
Pt 2.9038 5.0114 6.0569
Pt -2.0653 4.9685 6.4281
Pt 5.5274 1.6012 3.7229
B -1.7643 5.4805 4.2769
Pt 4.2875 2.6550 7.1361
```

Values from the calculation:
energy of formation: -0.1890 eV per atom



[2]
This record from Alexandria describes an optimized crystal structure of GeB3Pt. The functional is PBE.

Geometry as extended XYZ:
```
5
Lattice="-3.3087 -2.3785 -0.2624 2.2171 -3.2156 1.1908 -0.9002 0.8224 3.8971" Properties=species:S:1:pos:R:3 pbc="T T T"
Ge 0.0000 0.0000 0.0000
B -1.6544 -1.1893 -0.1312
B 1.1086 -1.6078 0.5954
Pt -0.9959 -2.3859 2.4127
B -0.4501 0.4112 1.9485
```

Values from the calculation:
energy of formation: 1.9141 eV per atom



[3]
This record from Alexandria describes an optimized crystal structure of Pu3GeB2Pt8. The functional is PBE.

Geometry as extended XYZ:
```
14
Lattice="5.4030 0.0000 0.0000 -2.7015 4.6792 0.0000 0.0000 0.0000 9.7093" Properties=species:S:1:pos:R:3 pbc="T T T"
Pt 1.3435 3.8951 2.6494
Ge 0.0000 0.0000 4.8546
Pt -1.3435 3.8951 2.6494
Pu 0.0000 3.1194 5.6024
Pt 0.0000 1.5681 2.6494
B 0.0000 3.1194 1.1655
Pt 2.7015 1.5597 0.8341
Pt 0.0000 3.1194 8.8751
Pu 0.0000 0.0000 0.0000
Pt 2.7015 3.1111 7.0599
B 2.7015 1.5597 8.5438
Pu 2.7015 1.5597 4.1069
Pt 1.3580 0.7840 7.0599
Pt 4.0450 0.7840 7.0599
```

Values from the calculation:
energy of formation: -0.5390 eV per atom



[4]
This record from Alexandria describes an optimized crystal structure of SiGeB2Pt. The functional is PBE.

Geometry as extended XYZ:
```
5
Lattice="3.9148 0.0000 0.0000 0.0000 5.0082 0.0000 0.0000 0.0000 3.9148" Properties=species:S:1:pos:R:3 pbc="T T T"
Si 0.0000 0.0000 0.0000
Ge 1.9574 2.5041 1.9574
Pt 0.0000 2.5041 0.0000
B 1.9574 0.0000 0.0000
B 0.0000 0.0000 1.9574
```

Values from the calculation:
E_form (uncorrected): 1.02 eV per atom



[5]
This record from Alexandria describes an optimized crystal structure of Sn2GeBPt. The functional is PBE.

Geometry as extended XYZ:
```
5
Lattice="5.3558 0.0000 0.0000 0.0000 3.9889 0.0000 0.0000 0.0000 5.3558" Properties=species:S:1:pos:R:3 pbc="T T T"
B 0.0000 1.9945 0.0000
Pt 0.0000 0.0000 0.0000
Sn 2.6779 0.0000 0.0000
Sn 0.0000 0.0000 2.6779
Ge 2.6779 1.9945 2.6779
```

Values from the calculation:
energy of formation: 0.3607 eV per atom



[6]
This record from Alexandria describes an optimized crystal structure of Tb2GeBPt6. The functional is PBE.

Geometry as extended XYZ:
```
20
Lattice="-0.7830 3.1821 -4.6535 -6.2209 -3.6424 -1.4440 -4.4349 5.7263 4.6619" Properties=species:S:1:pos:R:3 pbc="T T T"
B -3.8611 3.7210 -0.2864
Tb -2.6993 0.2336 0.6139
Pt -2.4500 2.4991 -1.3594
Tb -6.1305 0.5782 -2.0537
Pt -0.2345 0.8003 -1.2060
Pt -3.8295 -1.3427 -1.9939
Ge -2.3394 0.4505 -2.7789
Tb -5.2010 3.4637 3.2436
Pt -6.3799 -1.6873 -0.0803
Pt -8.9987 1.6505 -2.6305
Pt -8.5954 0.0115 -0.2337
Ge -6.4904 0.3613 1.3391
Pt -5.0003 2.1545 0.5541
Pt -5.3873 3.7270 -1.7456
B -4.9687 -2.9092 -1.1533
Tb -8.0637 3.0744 -0.0215
Pt -0.6142 2.3434 -3.4627
Pt -4.6327 5.3174 0.9350
Pt -4.2256 0.2668 -4.3476
Pt -8.6320 1.2207 2.2871
```

Values from the calculation:
energy of formation: -0.8874 eV per atom



[7]
This record from Alexandria describes an optimized crystal structure of Tb3GeB2Pt8. The functional is PBE.

Geometry as extended XYZ:
```
14
Lattice="-2.0601 -4.5734 -2.1093 5.3866 0.7635 0.1023 0.4247 -4.1445 8.5715" Properties=species:S:1:pos:R:3 pbc="T T T"
Pt 3.2925 -4.8029 7.1982
Pt 1.5782 -1.6537 2.0442
Pt 4.2550 -1.2742 2.0950
Tb 3.1536 -3.4481 4.3963
Pt 0.5199 -4.4074 5.5177
Tb 0.5976 -4.5062 2.1682
Pt 0.4587 -3.1514 -0.6337
B 2.9569 -1.5279 0.4250
Ge 0.2123 -2.0722 4.2857
Pt 2.1730 -6.3007 4.5203
Pt -0.5038 -6.6801 4.4695
B 0.7943 -6.4264 6.1396
Pt 3.2313 -3.5469 1.0469
Tb 0.0000 0.0000 0.0000
```

Values from the calculation:
energy of formation: -0.7638 eV per atom



[8]
This record from Alexandria describes an optimized crystal structure of Th2GeBPt6. The functional is PBE.

Geometry as extended XYZ:
```
20
Lattice="5.7555 0.0000 0.0000 0.0000 7.4201 0.0000 0.0000 0.0000 8.7394" Properties=species:S:1:pos:R:3 pbc="T T T"
Ge 0.0000 4.9761 4.3697
Pt 2.8778 1.2136 6.5034
Pt 4.2860 0.1484 0.0000
Th 0.0000 2.1341 6.8376
Pt 4.3885 4.4194 0.0000
Pt 2.8778 1.2136 2.2359
B 0.0000 6.0669 0.0000
Ge 2.8778 2.4440 0.0000
Pt 4.2448 3.0007 4.3697
B 2.8778 1.3532 4.3697
Pt 1.4082 7.2717 4.3697
Th 2.8778 5.2860 6.2714
Th 2.8778 5.2860 2.4679
Pt 0.0000 6.2065 2.1337
Pt 1.4695 0.1484 0.0000
Pt 4.3473 7.2717 4.3697
Pt 0.0000 6.2065 6.6056
Pt 1.3671 4.4194 0.0000
Th 0.0000 2.1341 1.9018
Pt 1.5107 3.0007 4.3697
```

Values from the calculation:
energy of formation: -0.8983 eV per atom